First-principles (PBE-GGA) data for a geometry-optimized Ti2VCu2 structure, as listed in Alexandria via LeMat-Bulk.

Cell: 6.9858 6.9858 3.0569 Å, 90.00 90.00 90.00°
Sites, in units of the cell vectors:
V 0.0000 0.0000 0.0000
V 0.5000 0.5000 0.0000
Cu 0.3767 0.8767 0.0000
Cu 0.8767 0.6233 0.0000
Cu 0.6233 0.1233 0.0000
Cu 0.1233 0.3767 0.0000
Ti 0.1765 0.6765 0.5000
Ti 0.6765 0.8235 0.5000
Ti 0.8235 0.3235 0.5000
Ti 0.3235 0.1765 0.5000

Results
SG = P4/mbm
VASP energy = -65.0 eV for the cell shown
total magnetic moment = 2.56 μB per formula unit

First-principles (PBE-GGA) data for a geometry-optimized TiVCu2 structure, as listed in Alexandria via LeMat-Bulk.

Cell: 3.2539 3.2539 5.1965 Å, 90.00 90.00 90.00°
Sites, in units of the cell vectors:
Ti 0.5000 0.5000 0.0000
Cu 0.0000 0.0000 0.7451
Cu 0.0000 0.0000 0.2549
V 0.5000 0.5000 0.5000

Results
SG = P4/mmm
energy above the lowest structure with this stoichiometry = 67 meV per atom
VASP energy = -24.7 eV for the cell shown
total magnetic moment = 0.94 μB per formula unit

First-principles (PBE-GGA) data for a geometry-optimized Ti2V2Cu structure, as listed in Alexandria via LeMat-Bulk.

Cell: 4.0967 5.4613 7.2910 Å, 110.00 106.32 90.00°
Sites, in units of the cell vectors:
Ti 0.3997 0.8834 0.7919
Ti 0.3922 0.3834 0.7919
Ti 0.6003 0.1166 0.2081
Ti 0.6078 0.6166 0.2081
V 0.2129 0.5333 0.4223
V 0.7906 0.9667 0.5777
V 0.7871 0.4667 0.5777
V 0.2094 0.0333 0.4223
Cu 0.9991 0.2500 0.0000
Cu 0.0009 0.7500 0.0000

Results
SG = C2/c
energy above the lowest structure with this stoichiometry = 0 meV per atom
VASP energy = -75.8 eV for the cell shown
total magnetic moment = 0.00 μB per formula unit

First-principles (PBE-GGA) data for a geometry-optimized Ti3VCu structure, as listed in Alexandria via LeMat-Bulk.

Cell: 4.5887 4.5887 4.5887 Å, 90.00 90.00 90.00°
Sites, in units of the cell vectors:
V 0.5000 0.5000 0.5000
Cu 0.0000 0.0000 0.0000
Ti 0.0000 0.5000 0.0000
Ti 0.0000 0.0000 0.5000
Ti 0.5000 0.0000 0.0000

Results
SG = Pm-3m
energy above the lowest structure with this stoichiometry = 29 meV per atom
VASP energy = -32.6 eV for the cell shown
total magnetic moment = 4.10 μB per formula unit

First-principles (PBE-GGA) data for a geometry-optimized TiVCu3 structure, as listed in Alexandria via LeMat-Bulk.

Cell: 4.4415 4.4415 4.4415 Å, 90.00 90.00 90.00°
Sites, in units of the cell vectors:
V 0.0000 0.0000 0.0000
Cu 0.0000 0.5000 0.0000
Cu 0.0000 0.0000 0.5000
Cu 0.5000 0.0000 0.0000
Ti 0.5000 0.5000 0.5000

Results
SG = Pm-3m
energy above the lowest structure with this stoichiometry = 0 meV per atom
VASP energy = -23.7 eV for the cell shown
total magnetic moment = 3.20 μB per formula unit

First-principles (PBE-GGA) data for a geometry-optimized Ti2V2Cu structure, as listed in Alexandria via LeMat-Bulk.

Cell: 6.5434 6.5434 3.5304 Å, 90.00 90.00 90.00°
Sites, in units of the cell vectors:
V 0.3705 0.8705 0.0000
V 0.8705 0.6295 0.0000
V 0.6295 0.1295 0.0000
V 0.1295 0.3705 0.0000
Cu 0.0000 0.0000 0.0000
Cu 0.5000 0.5000 0.0000
Ti 0.1693 0.6693 0.5000
Ti 0.6693 0.8307 0.5000
Ti 0.8307 0.3307 0.5000
Ti 0.3307 0.1693 0.5000

Results
SG = P4/mbm
energy above the lowest structure with this stoichiometry = 147 meV per atom
VASP energy = -74.4 eV for the cell shown
total magnetic moment = 0.00 μB per formula unit

First-principles (PBE-GGA) data for a geometry-optimized TiVCu2 structure, as listed in Alexandria via LeMat-Bulk.

Cell: 6.9138 6.9138 5.4464 Å, 50.60 50.60 90.00°
Sites, in units of the cell vectors:
V 0.0000 0.0000 0.0000
V 0.7500 0.2500 0.5000
Cu 0.6365 0.1250 0.2500
Cu 0.1135 0.6250 0.2500
Cu 0.3750 0.3635 0.7500
Cu 0.8750 0.8865 0.7500
Ti 0.5000 0.5000 0.0000
Ti 0.2500 0.7500 0.5000

Results
SG = I-42d
energy above the lowest structure with this stoichiometry = 344 meV per atom
VASP energy = -47.3 eV for the cell shown
total magnetic moment = 0.00 μB per formula unit

First-principles (PBE-GGA) data for a geometry-optimized TiVCu2 structure, as listed in Alexandria via LeMat-Bulk.

Cell: 3.9338 3.6909 3.6909 Å, 90.00 90.00 90.00°
Sites, in units of the cell vectors:
Ti 0.5000 0.5000 0.5000
Cu 0.0000 0.0000 0.5000
Cu 0.0000 0.5000 0.0000
V 0.5000 0.0000 0.0000

Results
SG = P4/mmm
energy above the lowest structure with this stoichiometry = 0 meV per atom
VASP energy = -25.0 eV for the cell shown
total magnetic moment = 0.00 μB per formula unit